DFT (PBE) results for a relaxed ZnPIr crystal.

Unit cell a=2.7741 b=4.8851 c=13.4280 alpha=90.00 beta=90.00 gamma=90.00
Last column: nearest neighbours and their distance in Å.
Space group Fmm2 (No. 42)
One atom of each set of equivalent atoms:
Zn  0.0000  0.0000  0.0000 (multiplicity 4)  2 Ir 2.66, 6 Zn 2.77-2.81, 2 P 2.85
P  0.0000  0.0000  0.3146 (multiplicity 4)  2 Ir 2.40
Ir  0.0000  0.0000  0.6691 (multiplicity 4)  2 P 2.40, 2 Zn 2.66

Summary:
**Formation energy**: 157 meV per atom